(1)
This record from the Alexandria database describes an optimized crystal structure of Gd2RhAu. The functional is PBE-GGA.

Lattice parameters (Å, degrees): 3.557 3.557 7.091 90.00 90.00 90.00
Space group P4/mmm (No. 123)
Unique sites:
Gd  0.000  0.000  0.235 x2
Rh  0.500  0.500  0.000 x1
Au  0.500  0.500  0.500 x1

- Energy of formation from the pure elements: -0.806 eV/atom

(2)
This record from the Alexandria database describes an optimized crystal structure of GdRh4Au. The functional is PBE-GGA.

Lattice parameters (Å, degrees): 7.449 7.449 7.449 90.00 90.00 90.00
Space group F-43m (No. 216)
Unique sites:
Gd  0.000  0.000  0.000 x4
Rh  0.125  0.125  0.375 x16
Au  0.250  0.250  0.750 x4

- Energy of formation from the pure elements: -0.311 eV/atom

Q: Number 1 is which compound?
A: Gd2RhAu

Q: The lowest energy of formation from the pure elements belongs to which entry?
A: Gd2RhAu

Q: energy of formation from the pure elements of number 2 (GdRh4Au)?
A: -0.311 eV/atom